First-principles (GGA-PBE) data for crystalline ZrBe2Cl at its relaxed geometry, as listed in Alexandria.

Unit cell a=3.0396 b=3.0396 c=7.8004 alpha=90.00 beta=90.00 gamma=115.73
Fractional positions:
Be1 0.0000 0.0000 0.0213
Be2 0.0000 0.0000 0.4787
Zr1 0.5000 0.5000 0.7500
Cl1 0.5000 0.5000 0.2500

Results
ΔE_f (raw), eV per atom: 0.284
Volume, Å³ per atom: 16.2
Space group: No. 65
N(E_F), states/eV/atom: 0.510
Energy above the lowest structure with this stoichiometry, eV/f.u.: 2.221